No. 1
Density functional theory data (PBE) for an optimized crystal structure of RePIr2.

It has space group Pm (No. 6), with a = 2.8336 Å, b = 3.8615 Å, c = 5.3793 Å, α = 90.00°, β = 105.21° and γ = 90.00°. The distinct sites, in fractional coordinates, are Re at (0.0000, 0.0000, 0.0000), P at (0.4082, 0.5000, 0.7949), Ir at (0.2664, 0.0000, 0.5310) and Ir at (0.6236, 0.5000, 0.2452).

As for the formation enthalpy at 0 K: -0.077 eV/atom. Its mass density is 17.59 g/cm³. The value obtained for the total energy is -35.9 eV per formula unit.

---

No. 2
Density functional theory data (PBE) for an optimized crystal structure of Tb3Ga4Hg2.

It has space group C2/m (No. 12), with a = 10.8558 Å, b = 4.5563 Å, c = 8.6772 Å, α = 90.00°, β = 112.25° and γ = 90.00°. The distinct sites, in fractional coordinates, are Tb at (0.0000, 0.0000, 0.0000), Tb at (0.1595, 0.5000, 0.6723), Ga at (0.0530, 0.0000, 0.3902), Ga at (0.2347, 0.5000, 0.0593) and Hg at (0.1262, 0.5000, 0.2888).

As for the formation enthalpy at 0 K: -0.539 eV/atom. Its mass density is 9.67 g/cm³. The value obtained for the total energy is -31.5 eV per formula unit.

---

No. 3
Density functional theory data (PBE) for an optimized crystal structure of Dy4Ho5Tm.

It has space group P-1 (No. 2), with a = 3.5301 Å, b = 6.7235 Å, c = 13.7588 Å, α = 97.54°, β = 90.18° and γ = 105.02°. The distinct sites, in fractional coordinates, are Dy at (0.1261, 0.2042, 0.3082), Dy at (0.1774, 0.3270, 0.7100), Ho at (0.1869, 0.3751, 0.0844), Ho at (0.4647, 0.9181, 0.1153), Ho at (0.5000, 0.0000, 0.5000) and Tm at (0.0000, 0.5000, 0.5000).

Its distance to the lowest polymorph of the same formula is 0 meV per atom. As for the formation enthalpy at 0 K: 0.057 eV/atom. Its mass density is 8.74 g/cm³. The value obtained for the total energy is -45.2 eV per formula unit.

---

No. 4
Density functional theory data (PBE) for an optimized crystal structure of Sm4Er7In.

It has space group C2/m (No. 12), with a = 11.3727 Å, b = 5.5134 Å, c = 12.9076 Å, α = 90.00°, β = 102.72° and γ = 90.00°. The distinct sites, in fractional coordinates, are Sm at (0.0537, 0.0000, 0.2767), Sm at (0.1606, 0.5000, 0.7741), Er at (0.0000, 0.5000, 0.5000), Er at (0.0952, 0.5000, 0.1225), Er at (0.1397, 0.0000, 0.9678), Er at (0.2403, 0.5000, 0.3865) and In at (0.0000, 0.0000, 0.5000).

As for the formation enthalpy at 0 K: 0.155 eV/atom. Its mass density is 7.94 g/cm³. The value obtained for the total energy is -51.7 eV per formula unit.

---

No. 5
Density functional theory data (PBE) for an optimized crystal structure of Li2TaTl.

It has space group R3m (No. 160, hexagonal axes), with a = 3.0512 Å, b = 3.0512 Å, c = 30.1018 Å, α = 90.00°, β = 90.00° and γ = 120.00°. The distinct sites, in fractional coordinates, are Li at (0.0000, 0.0000, 0.0000), Li at (0.0000, 0.0000, 0.2451), Ta at (0.0000, 0.0000, 0.7488) and Tl at (0.0000, 0.0000, 0.5021).

As for the formation enthalpy at 0 K: 0.303 eV/atom. Its mass density is 8.19 g/cm³. The value obtained for the total energy is -16.8 eV per formula unit.

---

No. 6
Density functional theory data (PBE) for an optimized crystal structure of Cs2Tl3Hg5.

It has space group Ibam (No. 72), with a = 11.2265 Å, b = 15.6760 Å, c = 8.5181 Å, α = 90.00°, β = 90.00° and γ = 90.00°. The distinct sites, in fractional coordinates, are Cs at (0.2447, 0.1298, 0.0000), Tl at (0.0000, 0.5000, 0.2500), Tl at (0.1049, 0.1265, 0.5000), Hg at (0.0000, 0.0000, 0.2500), Hg at (0.0000, 0.2604, 0.2500) and Hg at (0.1207, 0.3787, 0.0000).

As for the formation enthalpy at 0 K: -0.153 eV/atom. Its mass density is 8.34 g/cm³. The value obtained for the total energy is -11.8 eV per formula unit.

---

No. 7
Density functional theory data (PBE) for an optimized crystal structure of Ba2AgSnSe5.

It has space group Cmc2_1 (No. 36), with a = 4.2535 Å, b = 20.6052 Å, c = 12.6437 Å, α = 90.00°, β = 90.00° and γ = 90.00°. The distinct sites, in fractional coordinates, are Ba at (0.0000, 0.1134, 0.0000), Ba at (0.0000, 0.1337, 0.3697), Ag at (0.0000, 0.2250, 0.7321), Sn at (0.0000, 0.4332, 0.1443), Se at (0.0000, 0.0289, 0.7537), Se at (0.0000, 0.2917, 0.3669), Se at (0.0000, 0.3115, 0.0990), Se at (0.0000, 0.3566, 0.6849) and Se at (0.0000, 0.4854, 0.9618).

Its mass density is 5.37 g/cm³. Its formation energy (no corrections) is -0.98 eV/atom. The value obtained for the total energy is -37.0 eV per formula unit.

---

No. 8
Density functional theory data (PBE) for an optimized crystal structure of Mn3FeGe.

It has space group Pm-3m (No. 221), with a = 4.2987 Å, b = 4.2987 Å, c = 4.2987 Å, α = 90.00°, β = 90.00° and γ = 90.00°. The distinct sites, in fractional coordinates, are Mn at (0.0000, 0.0000, 0.5000), Fe at (0.0000, 0.0000, 0.0000) and Ge at (0.5000, 0.5000, 0.5000).

As for the formation enthalpy at 0 K: 0.919 eV/atom. Its mass density is 6.13 g/cm³. The value obtained for the total energy is -36.0 eV per formula unit.

---

No. 9
Density functional theory data (PBE) for an optimized crystal structure of Na2Cd2ReO6.

It has space group C2/m (No. 12), with a = 5.9523 Å, b = 9.6655 Å, c = 5.8246 Å, α = 90.00°, β = 110.35° and γ = 90.00°. The distinct sites, in fractional coordinates, are Na at (0.0000, 0.1724, 0.0000), Cd at (0.0000, 0.3408, 0.5000), Re at (0.0000, 0.0000, 0.5000), O at (0.2015, 0.0000, 0.2986) and O at (0.2018, 0.1443, 0.7027).

Its mass density is 5.85 g/cm³. Its formation energy (no corrections) is -1.37 eV/atom. The value obtained for the total energy is -61.7 eV per formula unit.

---

No. 10
Density functional theory data (PBE) for an optimized crystal structure of Ho8Tc2Sn.

It has space group C2/m (No. 12), with a = 17.8603 Å, b = 4.7783 Å, c = 7.3156 Å, α = 90.00°, β = 109.93° and γ = 90.00°. The distinct sites, in fractional coordinates, are Ho at (0.0364, 0.0000, 0.2584), Ho at (0.1008, 0.5000, 0.9726), Ho at (0.1771, 0.5000, 0.4517), Ho at (0.1999, 0.0000, 0.8112), Tc at (0.1880, 0.0000, 0.1951) and Sn at (0.0000, 0.5000, 0.5000).

As for the formation enthalpy at 0 K: -0.206 eV/atom. Its mass density is 9.25 g/cm³. The value obtained for the total energy is -63.6 eV per formula unit.

---

No. 11
Density functional theory data (PBE) for an optimized crystal structure of Mn2ReCl.

It has space group Pmmm (No. 47), with a = 2.9124 Å, b = 2.9571 Å, c = 7.3595 Å, α = 90.00°, β = 90.00° and γ = 90.00°. The distinct sites, in fractional coordinates, are Mn at (0.0000, 0.0000, 0.2212), Re at (0.5000, 0.5000, 0.0000) and Cl at (0.5000, 0.0000, 0.5000).

Its distance to the lowest polymorph of the same formula is 0 meV per atom. Its mass density is 8.69 g/cm³. Its formation energy (no corrections) is 0.10 eV/atom. The value obtained for the total energy is -32.2 eV per formula unit.

---

No. 12
Density functional theory data (PBE) for an optimized crystal structure of LiNdTi4O12.

It has space group P4/mmm (No. 123), with a = 5.4311 Å, b = 5.4311 Å, c = 7.8827 Å, α = 90.00°, β = 90.00° and γ = 90.00°. The distinct sites, in fractional coordinates, are Li at (0.0000, 0.0000, 0.0000), Nd at (0.5000, 0.5000, 0.5000), Ti at (0.0000, 0.5000, 0.2373), O at (0.0000, 0.5000, 0.0000), O at (0.0000, 0.5000, 0.5000) and O at (0.2561, 0.2561, 0.2673).

Its mass density is 3.82 g/cm³. Its formation energy (no corrections) is -2.42 eV/atom. The value obtained for the total energy is -141.3 eV per formula unit.

---

No. 13
Density functional theory data (PBE) for an optimized crystal structure of Li3TbSc2S6.

It has space group C2/m (No. 12), with a = 6.5430 Å, b = 11.3370 Å, c = 6.4958 Å, α = 90.00°, β = 109.63° and γ = 90.00°. The distinct sites, in fractional coordinates, are Li at (0.0000, 0.0000, 0.0000), Li at (0.0000, 0.3314, 0.0000), Tb at (0.0000, 0.5000, 0.5000), Sc at (0.0000, 0.1666, 0.5000), S at (0.2344, 0.0000, 0.7454) and S at (0.2450, 0.1737, 0.2568).

Its mass density is 3.38 g/cm³. Its formation energy (no corrections) is -1.79 eV/atom. The value obtained for the total energy is -69.3 eV per formula unit.

---

No. 14
Density functional theory data (PBE) for an optimized crystal structure of TbPr2Y5Sc.

It has space group Cmc2_1 (No. 36), with a = 5.5913 Å, b = 20.2402 Å, c = 10.4097 Å, α = 90.00°, β = 90.00° and γ = 90.00°. The distinct sites, in fractional coordinates, are Tb at (0.0000, 0.0927, 0.0000), Pr at (0.0000, 0.3836, 0.2796), Pr at (0.0000, 0.3879, 0.8593), Y at (0.0000, 0.0173, 0.2849), Y at (0.0000, 0.1314, 0.5654), Y at (0.0000, 0.2023, 0.2447), Y at (0.0000, 0.2286, 0.8757), Y at (0.0000, 0.4845, 0.5605) and Sc at (0.0000, 0.3078, 0.5616).

As for the formation enthalpy at 0 K: 0.148 eV/atom. Its mass density is 5.24 g/cm³. The value obtained for the total energy is -51.5 eV per formula unit.

---

No. 15
Density functional theory data (PBE) for an optimized crystal structure of LuThTiCd.

It has space group F-43m (No. 216), with a = 7.4303 Å, b = 7.4303 Å, c = 7.4303 Å, α = 90.00°, β = 90.00° and γ = 90.00°. The distinct sites, in fractional coordinates, are Lu at (0.0000, 0.0000, 0.0000), Th at (0.0000, 0.0000, 0.5000), Ti at (0.2500, 0.2500, 0.7500) and Cd at (0.2500, 0.2500, 0.2500).

As for the formation enthalpy at 0 K: 0.089 eV/atom. Its mass density is 9.19 g/cm³. The value obtained for the total energy is -20.4 eV per formula unit.

---

No. 16
Density functional theory data (PBE) for an optimized crystal structure of Mg2CoPdCl.

It has space group P4/mmm (No. 123), with a = 5.0056 Å, b = 5.0056 Å, c = 4.0067 Å, α = 90.00°, β = 90.00° and γ = 90.00°. The distinct sites, in fractional coordinates, are Mg at (0.0000, 0.5000, 0.0000), Co at (0.0000, 0.0000, 0.0000), Pd at (0.5000, 0.5000, 0.5000) and Cl at (0.0000, 0.0000, 0.5000).

Its mass density is 4.13 g/cm³. Its formation energy (no corrections) is 0.21 eV/atom. The value obtained for the total energy is -16.3 eV per formula unit.

---

No. 17
Density functional theory data (PBE) for an optimized crystal structure of CaLa2Er.

It has space group P4/mmm (No. 123), with a = 5.9847 Å, b = 5.9847 Å, c = 4.0813 Å, α = 90.00°, β = 90.00° and γ = 90.00°. The distinct sites, in fractional coordinates, are Ca at (0.0000, 0.0000, 0.0000), La at (0.0000, 0.5000, 0.5000) and Er at (0.5000, 0.5000, 0.0000).

Its distance to the lowest polymorph of the same formula is 65 meV per atom. As for the formation enthalpy at 0 K: 0.097 eV/atom. Its mass density is 5.51 g/cm³. The value obtained for the total energy is -16.0 eV per formula unit.

---

No. 18
Density functional theory data (PBE) for an optimized crystal structure of TmMgTe2O8.

It has space group I-4m2 (No. 119), with a = 7.1434 Å, b = 7.1434 Å, c = 6.6918 Å, α = 90.00°, β = 90.00° and γ = 90.00°. The distinct sites, in fractional coordinates, are Tm at (0.0000, 0.0000, 0.0000), Mg at (0.0000, 0.5000, 0.2500), Te at (0.0000, 0.0000, 0.5000), Te at (0.0000, 0.5000, 0.7500), O at (0.0000, 0.1915, 0.3031) and O at (0.0000, 0.3106, 0.9456).

Its mass density is 5.61 g/cm³. Its formation energy (no corrections) is -1.64 eV/atom. The value obtained for the total energy is -71.7 eV per formula unit.

---

No. 19
Density functional theory data (PBE) for an optimized crystal structure of HgBi2P2.

It has space group I4/mmm (No. 139), with a = 4.9538 Å, b = 4.9538 Å, c = 12.3662 Å, α = 90.00°, β = 90.00° and γ = 90.00°. The distinct sites, in fractional coordinates, are Hg at (0.0000, 0.0000, 0.0000), Bi at (0.0000, 0.0000, 0.3540) and P at (0.0000, 0.5000, 0.2500).

Its distance to the lowest polymorph of the same formula is 62 meV per atom. As for the formation enthalpy at 0 K: 0.261 eV/atom. Its mass density is 7.45 g/cm³. The value obtained for the total energy is -17.6 eV per formula unit.

---

No. 20
Density functional theory data (PBE) for an optimized crystal structure of Li2MgPb8.

It has space group C2/m (No. 12), with a = 9.3448 Å, b = 12.5028 Å, c = 5.4475 Å, α = 90.00°, β = 100.84° and γ = 90.00°. The distinct sites, in fractional coordinates, are Li at (0.0000, 0.1422, 0.0000), Mg at (0.0000, 0.5000, 0.5000), Pb at (0.0000, 0.2353, 0.5000), Pb at (0.1697, 0.0000, 0.3869) and Pb at (0.1818, 0.3646, 0.0877).

Its distance to the lowest polymorph of the same formula is 17 meV per atom. As for the formation enthalpy at 0 K: -0.039 eV/atom. Its mass density is 9.01 g/cm³. The value obtained for the total energy is -35.5 eV per formula unit.

---

No. 21
Density functional theory data (PBE) for an optimized crystal structure of Na2SrBePt.

It has space group P4/mmm (No. 123), with a = 5.5869 Å, b = 5.5869 Å, c = 6.7097 Å, α = 90.00°, β = 90.00° and γ = 90.00°. The distinct sites, in fractional coordinates, are Na at (0.0000, 0.5000, 0.0000), Sr at (0.0000, 0.0000, 0.5000), Be at (0.0000, 0.0000, 0.0000) and Pt at (0.5000, 0.5000, 0.5000).

As for the formation enthalpy at 0 K: 0.798 eV/atom. Its mass density is 2.68 g/cm³. The value obtained for the total energy is -10.1 eV per formula unit.

---

No. 22
Density functional theory data (PBE) for an optimized crystal structure of DySi3Os3.

It has space group Pm-3n (No. 223), with a = 6.5199 Å, b = 6.5199 Å, c = 6.5199 Å, α = 90.00°, β = 90.00° and γ = 90.00°. The distinct sites, in fractional coordinates, are Dy at (0.0000, 0.0000, 0.0000), Si at (0.0000, 0.2500, 0.5000) and Os at (0.0000, 0.5000, 0.2500).

Its distance to the lowest polymorph of the same formula is 300 meV per atom. Its mass density is 9.80 g/cm³. Its formation energy (no corrections) is 0.10 eV/atom. The value obtained for the total energy is -53.9 eV per formula unit.

---

No. 23
Density functional theory data (PBE) for an optimized crystal structure of SbC2N.

It has space group Fm-3m (No. 225), with a = 5.5673 Å, b = 5.5673 Å, c = 5.5673 Å, α = 90.00°, β = 90.00° and γ = 90.00°. The distinct sites, in fractional coordinates, are Sb at (0.0000, 0.0000, 0.0000), C at (0.2500, 0.2500, 0.2500) and N at (0.0000, 0.0000, 0.5000).

Its distance to the lowest polymorph of the same formula is 1083 meV per atom. Its mass density is 6.15 g/cm³. Its formation energy (no corrections) is 3.12 eV/atom. The value obtained for the total energy is -18.4 eV per formula unit.